Model one:
An optimized crystal structure of LiTmAg2, computed with PBE-GGA.

The density of states at the Fermi level is 0.582 states/eV/atom. The theoretical density is 8.121 g/cm3. As for the volume: 160.14 Å³ per cell. The value obtained for the total magnetization is 0.0000 μB/atom.

The structure belongs to space group Pmmn (No. 59, origin choice 2); the cell edges are 4.827, 6.425 and 5.163 Å and the angles 90.00°, 90.00° and 90.00°. The asymmetric unit holds Li at (0.250, 0.250, 0.236), Tm at (0.250, 0.750, 0.172) and Ag at (0.250, 0.503, 0.677).

Model two:
An optimized crystal structure of LiTmAg2, computed with PBE-GGA.

The density of states at the Fermi level is 0.404 states/eV/atom. The theoretical density is 7.847 g/cm3. As for the volume: 82.87 Å³ per cell. The value obtained for the total magnetization is 0.0000 μB/atom.

The structure belongs to space group P4/mmm (No. 123); the cell edges are 4.916, 4.916 and 3.429 Å and the angles 90.00°, 90.00° and 90.00°. The asymmetric unit holds Li at (0.000, 0.000, 0.000), Tm at (0.500, 0.500, 0.000) and Ag at (0.000, 0.500, 0.500).

Tell me which of them is the most stable. Sure, it is model one.

Model one:
An optimized crystal structure of Li2TmAg2, computed with PBE-GGA.

The density of states at the Fermi level is 0.415 states/eV/atom. The theoretical density is 6.536 g/cm3. As for the volume: 405.03 Å³ per cell. The value obtained for the total magnetization is 0.0000 μB/atom.

The structure belongs to space group C2/c (No. 15); the cell edges are 9.573, 6.241 and 7.428 Å and the angles 90.00°, 114.13° and 90.00°. The asymmetric unit holds Li at (0.121, 0.092, 0.447), Tm at (0.000, 0.423, 0.750) and Ag at (0.197, 0.274, 0.161).

Model two:
An optimized crystal structure of Li2TmAg2, computed with PBE-GGA.

The density of states at the Fermi level is 0.313 states/eV/atom. The theoretical density is 6.856 g/cm3. As for the volume: 193.06 Å³ per cell. The value obtained for the total magnetization is 0.0000 μB/atom.

The structure belongs to space group C2/m (No. 12); the cell edges are 15.957, 3.504 and 3.540 Å and the angles 90.00°, 102.75° and 90.00°. The asymmetric unit holds Li at (0.204, 0.000, 0.204), Tm at (0.000, 0.000, 0.000) and Ag at (0.113, 0.500, 0.613).

Tell me which of them is the most stable. Sure, it is model two.